The following is a DFT calculation (GGA-PBE) of Li2AgPd2 after structural relaxation.

```
Li2AgPd2
1.0
7.0036 0.0000 0.0000
0.0000 7.0036 0.0000
0.0000 0.0000 2.9167
Li Pd Ag
4 4 2
Direct
0.6320 0.1320 0.0000
0.1320 0.3680 0.0000
0.8680 0.6320 0.0000
0.3680 0.8680 0.0000
0.3345 0.1655 0.5000
0.1655 0.6655 0.5000
0.6655 0.8345 0.5000
0.8345 0.3345 0.5000
0.0000 0.0000 0.0000
0.5000 0.5000 0.0000
```

Summary:
- total energy (eV/atom) = -3.691
- V (Å³ per cell) = 143.1
- energy relative to the elements (eV/atom) = -0.2777
- crystal system = tetragonal
- energy above the lowest structure with this stoichiometry (meV/atom) = 0.0
- density (kg/m3) = 7767


The following is a DFT calculation (GGA-PBE) of ZrGeN3 after structural relaxation.

```
ZrGeN3
1.0
-2.4419 -0.2919 3.4477
2.9692 -2.3434 1.9045
1.7765 3.5154 1.5559
N Zr Ge
3 1 1
Direct
0.0000 0.5000 0.0000
0.0000 0.0000 0.5000
0.5000 0.0000 0.0000
0.0000 0.0000 0.0000
0.5000 0.5000 0.5000
```

Summary:
- total energy (eV/atom) = -6.821
- V (Å³ per cell) = 76.0
- crystal system = cubic
- density (kg/m3) = 4501


The following is a DFT calculation (GGA-PBE) of NbCo4Ru after structural relaxation.

```
NbCo4Ru
1.0
4.7336 0.0000 0.0000
2.3668 4.0994 0.0000
2.3668 1.3665 3.8650
Nb Co Ru
1 4 1
Direct
0.2500 0.2500 0.2500
0.6255 0.1235 0.6255
0.6255 0.6255 0.1235
0.1235 0.6255 0.6255
0.6255 0.6255 0.6255
0.0000 0.0000 0.0000
```

Summary:
- total energy (eV/atom) = -8.050
- V (Å³ per cell) = 75.0
- energy relative to the elements (eV/atom) = -0.0885
- crystal system = cubic
- density (kg/m3) = 9514